A relaxed structure of YCrF, computed with GGA+U.

Geometry as CIF:
```
data_YCrF
_cell_length_a 8.227
_cell_length_b 4.005
_cell_length_c 8.361
_cell_angle_alpha 90.00
_cell_angle_beta 114.00
_cell_angle_gamma 90.00
_symmetry_space_group_name_H-M 'C 1 2/m 1'
_symmetry_Int_Tables_number 12
loop_
_symmetry_equiv_pos_as_xyz
'x,y,z'
'-x,-y,-z'
'-x,y,-z'
'x,-y,z'
'x+1/2,y+1/2,z'
'-x+1/2,-y+1/2,-z'
'-x+1/2,y+1/2,-z'
'x+1/2,-y+1/2,z'
loop_
_atom_site_label
_atom_site_fract_x
_atom_site_fract_y
_atom_site_fract_z
_atom_site_occupancy
Y1 0.120 0.000 0.282 1
Cr1 0.160 0.500 0.003 1
F1 0.147 0.500 0.441 1
```

Results
For the total energy, the calculation gives -6.732 eV/atom. As for the density of states at the Fermi level: 0.37 states/eV/atom.